First-principles (GGA-PBE) data for a geometry-optimized VAsI structure, as listed in Alexandria.

POSCAR file:
```
VAsI
1.0
4.103 0.000 0.000
-0.034 6.669 0.000
-1.714 -0.010 6.607
V As I
2 2 2
direct
0.000 0.000 0.000
0.430 0.000 0.765
0.549 0.831 0.101
0.878 0.831 0.664
0.217 0.179 0.383
0.717 0.362 0.884
```

Calculated values
Energy above the most stable polymorph in this dataset   101.6 meV per atom
Uncorrected formation energy   -0.085 eV/atom
Space-group type   P1, No. 1